No. 1
{
  "formula": "GaGeS2N",
  "functional": "PBE",
  "state": "optimized geometry",
  "relative_energy_ev_per_atom": 0.000,
  "energy_ev_per_cell": -21.31,
  "total_magnetization_mub_per_fu": 1.105,
  "volume_a3_per_atom": 17.4,
  "cell": [[4.8712, 0.0000, 0.0000], [0.0000, 4.8712, 0.0000], [0.0000, 0.0000, 3.6636]],
  "species": ["Ga", "Ge", "S", "S", "N"],
  "fractional_positions": [[0.0000, 0.0000, 0.0000], [0.5000, 0.5000, 0.5000], [0.0000, 0.5000, 0.5000], [0.5000, 0.0000, 0.5000], [0.5000, 0.5000, 0.0000]]
}


No. 2
{
  "formula": "Ag4OF5",
  "functional": "PBE",
  "state": "optimized geometry",
  "energy_ev_per_cell": -34.17,
  "total_magnetization_mub_per_fu": 0.000,
  "volume_a3_per_atom": 15.3,
  "cell": [[3.8478, 0.0000, 0.0000], [-1.4244, 6.2446, 0.0000], [-0.9106, -3.2023, 6.3834]],
  "species": ["Ag", "Ag", "Ag", "Ag", "O", "F", "F", "F", "F", "F"],
  "fractional_positions": [[0.0053, 0.2583, 0.0063], [0.3328, 0.8638, 0.6516], [0.6672, 0.1362, 0.3484], [0.9947, 0.7417, 0.9937], [0.5000, 0.0000, 0.0000], [0.1815, 0.3476, 0.3403], [0.1951, 0.8522, 0.3351], [0.5000, 0.5000, 0.0000], [0.8049, 0.1478, 0.6649], [0.8185, 0.6524, 0.6597]]
}